Ba2Ag2Au | GGA-PBE | optimized geometry

Geometry as POSCAR:
```
Ba2Ag2Au
1.0
4.3861 0.0000 0.0000
0.0000 2.3779 7.7113
0.0000 -2.3779 7.7113
Ba Ag Au
2 2 1
Direct
0.0000 0.0000 0.0000
0.0000 0.2573 0.2573
0.5000 0.6281 0.6281
0.5000 0.8206 0.8206
0.5000 0.4337 0.4337
```

Summary:
offset from the most stable computed form	21	meV per atom
E_form	-408	meV/atom

***

CoAu2Se | GGA-PBE | optimized geometry

Geometry as POSCAR:
```
CoAu2Se
1.0
6.4391 -1.4613 0.0000
6.4391 1.4613 0.0000
-0.8761 0.0000 3.7353
Co Au Se
1 2 1
Direct
0.0000 0.0000 0.0000
0.3142 0.3142 0.8018
0.6858 0.6858 0.1982
0.5000 0.5000 0.5000
```

Summary:
formation energy without anion corrections	0.80	eV per formula unit